# 1
Material: ZrFe2Au2
Method: DFT, PBE
State: relaxed

Structure (extended XYZ):
```
10
Lattice="7.4117 0.0000 0.0000 0.0000 7.4117 0.0000 0.0000 0.0000 3.0030" Properties=species:S:1:pos:R:3 pbc="T T T"
Au 1.3377 5.0435 1.5015
Au 5.0435 6.0741 1.5015
Au 6.0741 2.3682 1.5015
Au 2.3682 1.3377 1.5015
Fe 2.8603 6.5662 0.0000
Fe 6.5662 4.5514 0.0000
Fe 4.5514 0.8455 0.0000
Fe 0.8455 2.8603 0.0000
Zr 0.0000 0.0000 0.0000
Zr 3.7059 3.7059 0.0000
```

Formation enthalpy at 0 K (eV per formula unit): 0.02
Energy relative to the lowest polymorph listed for this composition (eV/atom): 0.000
Volume (Å³/cell): 165
Space group: No. 127



# 2
Material: TaMnNb2
Method: DFT, PBE
State: relaxed

Structure (extended XYZ):
```
4
Lattice="4.4841 0.3682 0.4702 1.8203 3.9220 1.3297 1.8192 0.3658 4.1256" Properties=species:S:1:pos:R:3 pbc="T T T"
Nb 2.0309 1.1640 1.4814
Nb 6.0927 3.4921 4.4442
Mn 0.0000 0.0000 0.0000
Ta 4.0618 2.3280 2.9628
```

Formation enthalpy at 0 K (eV per formula unit): 0.14
Energy relative to the lowest polymorph listed for this composition (eV/atom): 0.089
Volume (Å³/cell): 65
Space group: No. 225



# 3
Material: TbErCoPt
Method: DFT, PBE
State: relaxed

Structure (extended XYZ):
```
4
Lattice="-3.2737 -3.4959 0.6673 1.0775 -4.5725 -1.1471 0.6446 -3.2814 3.4930" Properties=species:S:1:pos:R:3 pbc="T T T"
Co -0.3879 -2.8375 0.7533
Tb 0.0000 0.0000 0.0000
Pt -1.1637 -8.5124 2.2599
Er -0.7758 -5.6749 1.5066
```

Formation enthalpy at 0 K (eV per formula unit): -2.70
Volume (Å³/cell): 80
Space group: No. 216